1.
The following is a PBE calculation of a relaxed Cd2TcPb crystal, from the Alexandria database.

Computed properties:
ΔH_f (0 K)	446	meV per atom

The structure in CIF format:
```
data_Cd2TcPb
_symmetry_space_group_name_H-M 'R 3 m'
_symmetry_Int_Tables_number 160
_symmetry_space_group_name_Hall 'R 3 -2"'
_cell_length_a 3.0816
_cell_length_b 3.0816
_cell_length_c 32.7719
_cell_angle_alpha 90.00
_cell_angle_beta 90.00
_cell_angle_gamma 120.00
loop_
_atom_site_label
_atom_site_type_symbol
_atom_site_fract_x
_atom_site_fract_y
_atom_site_fract_z
Cd1 Cd 0.0000 0.0000 0.0000
Cd2 Cd 0.0000 0.0000 0.2459
Tc1 Tc 0.0000 0.0000 0.7364
Pb1 Pb 0.0000 0.0000 0.4762
```

2.
The following is a PBE calculation of a relaxed Cd2TcPb crystal, from the Alexandria database.

Computed properties:
ΔH_f (0 K)	517	meV per atom

The structure in CIF format:
```
data_Cd2TcPb
_symmetry_space_group_name_H-M 'P 4/m m m'
_symmetry_Int_Tables_number 123
_symmetry_space_group_name_Hall '-P 4 2'
_cell_length_a 4.1840
_cell_length_b 4.1840
_cell_length_c 4.8044
_cell_angle_alpha 90.00
_cell_angle_beta 90.00
_cell_angle_gamma 90.00
loop_
_atom_site_label
_atom_site_type_symbol
_atom_site_fract_x
_atom_site_fract_y
_atom_site_fract_z
Cd1 Cd 0.0000 0.5000 0.0000
Tc1 Tc 0.0000 0.0000 0.5000
Pb1 Pb 0.5000 0.5000 0.5000
```

no.,theoretical density (Mg/m³)
1,9.8
2,10.5